BeMo | the Alexandria database | GGA-PBE | relaxed; raw total energy = -30.06 eV for the cell shown; energy of formation = -22.82 kJ per mole of atoms
1.0
3.207 0.000 0.000
0.000 3.279 0.000
-1.601 0.000 4.444
Be Mo
2 2
direct
0.067 0.250 0.136
0.933 0.750 0.864
0.345 0.250 0.689
0.655 0.750 0.311

***

BeMo | the Alexandria database | GGA-PBE | relaxed; raw total energy = -14.05 eV for the cell shown; energy of formation = 24.60 kJ per mole of atoms
1.0
0.000 2.307 2.307
2.307 0.000 2.307
2.307 2.307 0.000
Be Mo
1 1
direct
0.000 0.000 0.000
0.500 0.500 0.500

***

Be2Mo | the Alexandria database | GGA-PBE | relaxed; raw total energy = -35.85 eV for the cell shown; energy of formation = 11.59 kJ per mole of atoms
1.0
4.434 -1.256 0.000
4.434 1.256 0.000
-0.241 0.000 5.993
Be Mo
4 2
direct
0.000 0.000 0.000
0.379 0.379 0.735
0.615 0.615 0.256
0.735 0.735 0.956
0.109 0.109 0.610
0.353 0.353 0.315

***

D(E_F)? In order: 0.22, 0.21, 0.43 states/eV per atom.
Calculated volume? In order: 11.68, 12.27, 11.13 Å³/atom.